1.
Entry from Alexandria via LeMat-Bulk: a relaxed TbY4Er15 crystal (PBE).

energy: -4.922 eV/atom
total moment: 0.000 μB/f.u.
SG: P4/mmm, No. 123
ρ: 8.1 g cm⁻³
Fermi-level density of states: 1.34 states/eV/atom

Cell and atoms, written as POSCAR:
```
TbY4Er15
1.0
4.981 0.000 0.000
0.000 4.981 0.000
0.000 0.000 24.907
Er Y Tb
15 4 1
direct
0.000 0.500 0.100
0.500 0.500 0.800
0.500 0.500 0.000
0.000 0.500 0.700
0.000 0.500 0.300
0.000 0.500 0.500
0.500 0.500 0.600
0.500 0.000 0.900
0.500 0.500 0.200
0.500 0.000 0.300
0.500 0.000 0.100
0.500 0.500 0.400
0.500 0.000 0.500
0.500 0.000 0.700
0.000 0.500 0.900
0.000 0.000 0.400
0.000 0.000 0.800
0.000 0.000 0.200
0.000 0.000 0.600
0.000 0.000 0.000
```


2.
Entry from Alexandria via LeMat-Bulk: a relaxed AgSb2Os crystal (PBE).

energy: -4.992 eV/atom
total moment: 0.000 μB/f.u.
uncorrected formation energy: 0.5897 eV/atom
polymorph energy (0 for the lowest one): 6.24 kcal/mol of atoms
SG: P4/mmm, No. 123
ρ: 11.3 g cm⁻³
Fermi-level density of states: 0.81 states/eV/atom

Cell and atoms, written as POSCAR:
```
AgSb2Os
1.0
4.870 0.000 0.000
0.000 4.871 0.000
0.000 0.000 3.348
Os Sb Ag
1 2 1
direct
0.000 0.500 0.500
0.000 0.000 0.000
0.500 0.500 0.000
0.500 0.000 0.500
```